[1]
Computed, not measured: an optimized crystal structure of CoMo2Au at the PBE level of DFT.

Output
* energy relative to the lowest polymorph listed for this composition: 0.561 eV per formula unit
* calculated formation energy: 0.293 eV per atom
* M_tot: 0.94 μB per cell

Unit cell a=4.9102 b=4.9102 c=4.4664 alpha=77.02 beta=77.02 gamma=35.34
Last column: nearest neighbours and their distance in Å.
Atoms (fractional coordinates):
1 Au 0.2500 0.2500 0.2500  4 Co 2.68, 6 Mo 2.83-2.84, 2 Au 2.98
2 Co 0.7500 0.7500 0.7500  4 Au 2.68, 6 Mo 2.71-2.82, 2 Co 2.98
3 Mo 0.0063 0.0063 0.9771  4 Mo 2.54-2.84, 3 Co 2.71-2.82, 3 Au 2.83-2.84
4 Mo 0.4937 0.4937 0.5229  4 Mo 2.54-2.84, 3 Co 2.71-2.82, 3 Au 2.83-2.84

[2]
Computed, not measured: an optimized crystal structure of AgP3 at the PBE level of DFT.

Output
* energy relative to the lowest polymorph listed for this composition: 0.884 eV per formula unit
* calculated formation energy: 0.405 eV per atom
* M_tot: 0.00 μB per cell

Unit cell a=3.1480 b=3.1373 c=6.6724 alpha=90.00 beta=90.00 gamma=90.00
Last column: nearest neighbours and their distance in Å.
Atoms (fractional coordinates):
1 Ag 0.0000 0.0000 0.0252  6 P 2.70-2.77
2 P 0.5000 0.0000 0.3536  4 P 2.45, 2 Ag 2.70
3 P 0.5000 0.5000 0.7786  2 P 2.39
4 P 0.0000 0.5000 0.5093  6 P 2.39-2.45

[3]
Computed, not measured: an optimized crystal structure of Pm4ZrU3N8 at the PBE level of DFT.

Output
* formation energy without anion corrections: -23.7 eV per formula unit
* M_tot: 1.92 μB per cell

Unit cell a=6.9400 b=7.0089 c=6.9401 alpha=119.68 beta=120.00 gamma=90.00
Last column: nearest neighbours and their distance in Å.
Atoms (fractional coordinates):
1 Pm 0.5000 0.0000 0.0000  6 N 2.59
2 Pm 0.5000 0.0000 0.5000  6 N 2.59-2.61
3 Pm 0.0000 0.0000 0.0000  6 N 2.59-2.61
4 Pm 0.0000 0.0000 0.5000  6 N 2.59-2.61
5 Zr 0.0000 0.5000 0.0000  6 N 2.36
6 U 0.5000 0.5000 0.0000  6 N 2.34-2.35
7 U 0.5000 0.5000 0.5000  6 N 2.34-2.35
8 U 0.0000 0.5000 0.5000  6 N 2.34-2.35
9 N 0.2388 0.7118 0.9730  2 U 2.34, 1 Zr 2.36, 3 Pm 2.59-2.61
10 N 0.2387 0.7117 0.4775  2 U 2.34, 1 Zr 2.36, 3 Pm 2.59-2.61
11 N 0.2618 0.2853 0.5235  3 U 2.35, 3 Pm 2.59
12 N 0.7343 0.7118 0.9730  2 U 2.34, 1 Zr 2.36, 3 Pm 2.59-2.61
13 N 0.2657 0.2882 0.0270  2 U 2.34, 1 Zr 2.36, 3 Pm 2.59-2.61
14 N 0.7382 0.7147 0.4765  3 U 2.35, 3 Pm 2.59
15 N 0.7613 0.2883 0.5225  2 U 2.34, 1 Zr 2.36, 3 Pm 2.59-2.61
16 N 0.7612 0.2882 0.0270  2 U 2.34, 1 Zr 2.36, 3 Pm 2.59-2.61

| no. | calculated total energy (eV/atom) |
| --- | --- |
| 1 | -7.72 |
| 2 | -4.37 |
| 3 | -9.48 |